(1)
Material: Pm6Dy2Ho3
Method: DFT, PBE-GGA
State: relaxed

CIF file:
```
data_Pm6Dy2Ho3
_cell_length_a 5.6753
_cell_length_b 5.6753
_cell_length_c 39.3235
_cell_angle_alpha 90.00
_cell_angle_beta 90.00
_cell_angle_gamma 120.00
_symmetry_space_group_name_H-M 'R -3 m'
_symmetry_Int_Tables_number 166
_symmetry_space_group_name_Hall '-R 3 2"'
loop_
_atom_site_label
_atom_site_type_symbol
_atom_site_fract_x
_atom_site_fract_y
_atom_site_fract_z
_atom_site_occupancy
Pm1 Pm 0.0000 0.0000 0.0898 1
Pm2 Pm 0.0000 0.0000 0.1868 1
Pm3 Pm 0.0000 0.0000 0.2848 1
Dy1 Dy 0.0000 0.0000 0.4591 1
Ho1 Ho 0.0000 0.0000 0.0000 1
Ho2 Ho 0.0000 0.0000 0.3732 1
```

Calculated values
Magnetization = 0.00 μB/cell
Energy above the most stable polymorph in this dataset = 0 meV per atom
ΔH_f (0 K) = 116 meV per atom
E_tot = -150.50 eV per cell

=====

(2)
Material: Pm2DyHo6
Method: DFT, PBE-GGA
State: relaxed

CIF file:
```
data_Pm2DyHo6
_cell_length_a 12.791
_cell_length_b 14.220
_cell_length_c 6.555
_cell_angle_alpha 90.00
_cell_angle_beta 104.01
_cell_angle_gamma 90.00
_symmetry_space_group_name_H-M 'C 1 2/c 1'
_symmetry_Int_Tables_number 15
_symmetry_space_group_name_Hall '-C 2yc'
loop_
_atom_site_label
_atom_site_type_symbol
_atom_site_fract_x
_atom_site_fract_y
_atom_site_fract_z
_atom_site_occupancy
Pm1 Pm 0.143 0.025 0.372 1
Dy1 Dy 0.000 0.382 0.250 1
Ho1 Ho 0.036 0.188 0.004 1
Ho2 Ho 0.132 0.411 0.816 1
Ho3 Ho 0.240 0.201 0.729 1
```

Calculated values
Magnetization = 0.00 μB/cell
ΔH_f (0 K) = 111 meV per atom
E_tot = -162.30 eV per cell